1.
Computed, not measured: crystalline TcPd2BrF at its relaxed geometry at the PBE-GGA level of DFT.

```
data_TcPd2BrF
_symmetry_space_group_name_H-M 'P 4/m m m'
_symmetry_Int_Tables_number 123
_symmetry_space_group_name_Hall '-P 4 2'
_cell_length_a 4.885
_cell_length_b 4.885
_cell_length_c 4.741
_cell_angle_alpha 90.00
_cell_angle_beta 90.00
_cell_angle_gamma 90.00
loop_
_atom_site_label
_atom_site_fract_x
_atom_site_fract_y
_atom_site_fract_z
Tc1 0.000 0.000 0.000
Pd1 0.000 0.500 0.000
Br1 0.000 0.000 0.500
F1 0.500 0.500 0.500
```

Summary:
**Total DFT energy (no corrections)**: -4.19 eV per atom
**Formation energy from raw total energies**: 670 meV/atom

---

2.
Computed, not measured: crystalline TlPdBrF2 at its relaxed geometry at the PBE-GGA level of DFT.

```
data_TlPdBrF2
_symmetry_space_group_name_H-M 'P 4/m m m'
_symmetry_Int_Tables_number 123
_symmetry_space_group_name_Hall '-P 4 2'
_cell_length_a 4.217
_cell_length_b 4.217
_cell_length_c 5.818
_cell_angle_alpha 90.00
_cell_angle_beta 90.00
_cell_angle_gamma 90.00
loop_
_atom_site_label
_atom_site_fract_x
_atom_site_fract_y
_atom_site_fract_z
Tl1 0.000 0.000 0.000
Pd1 0.000 0.000 0.500
Br1 0.500 0.500 0.000
F1 0.000 0.500 0.500
```

Summary:
**Total DFT energy (no corrections)**: -3.51 eV per atom
**Formation energy from raw total energies**: -918 meV/atom

---

3.
Computed, not measured: crystalline TlPdBrF2 at its relaxed geometry at the PBE-GGA level of DFT.

```
data_TlPdBrF2
_symmetry_space_group_name_H-M 'P 4/m m m'
_symmetry_Int_Tables_number 123
_symmetry_space_group_name_Hall '-P 4 2'
_cell_length_a 4.461
_cell_length_b 4.461
_cell_length_c 5.152
_cell_angle_alpha 90.00
_cell_angle_beta 90.00
_cell_angle_gamma 90.00
loop_
_atom_site_label
_atom_site_fract_x
_atom_site_fract_y
_atom_site_fract_z
Tl1 0.000 0.000 0.000
Pd1 0.500 0.500 0.500
Br1 0.500 0.500 0.000
F1 0.000 0.500 0.500
```

Summary:
**Total DFT energy (no corrections)**: -3.63 eV per atom
**Formation energy from raw total energies**: -1034 meV/atom

---

4.
Computed, not measured: crystalline TlPdBrF2 at its relaxed geometry at the PBE-GGA level of DFT.

```
data_TlPdBrF2
_symmetry_space_group_name_H-M 'P 4/m m m'
_symmetry_Int_Tables_number 123
_symmetry_space_group_name_Hall '-P 4 2'
_cell_length_a 4.705
_cell_length_b 4.705
_cell_length_c 4.798
_cell_angle_alpha 90.00
_cell_angle_beta 90.00
_cell_angle_gamma 90.00
loop_
_atom_site_label
_atom_site_fract_x
_atom_site_fract_y
_atom_site_fract_z
Tl1 0.000 0.000 0.000
Pd1 0.500 0.500 0.000
Br1 0.500 0.500 0.500
F1 0.000 0.500 0.500
```

Summary:
**Total DFT energy (no corrections)**: -3.10 eV per atom
**Formation energy from raw total energies**: -510 meV/atom

---

5.
Computed, not measured: crystalline Pm2BrF8 at its relaxed geometry at the PBE-GGA level of DFT.

```
data_Pm2BrF8
_symmetry_space_group_name_H-M 'C 1 2/m 1'
_symmetry_Int_Tables_number 12
_cell_length_a 7.389
_cell_length_b 11.626
_cell_length_c 4.377
_cell_angle_alpha 90.00
_cell_angle_beta 100.36
_cell_angle_gamma 90.00
loop_
_symmetry_equiv_pos_as_xyz
'x,y,z'
'-x,-y,-z'
'-x,y,-z'
'x,-y,z'
'x+1/2,y+1/2,z'
'-x+1/2,-y+1/2,-z'
'-x+1/2,y+1/2,-z'
'x+1/2,-y+1/2,z'
loop_
_atom_site_label
_atom_site_fract_x
_atom_site_fract_y
_atom_site_fract_z
Pm1 0.000 0.163 0.000
Br1 0.000 0.500 0.000
F1 0.000 0.217 0.500
F2 0.119 0.000 0.255
F3 0.175 0.348 0.046
```

Summary:
**Total DFT energy (no corrections)**: -5.44 eV per atom
**Formation energy from raw total energies**: -3059 meV/atom

---

6.
Computed, not measured: crystalline Pm3Br7F at its relaxed geometry at the PBE-GGA level of DFT.

```
data_Pm3Br7F
_symmetry_space_group_name_H-M 'P 3 m 1'
_symmetry_Int_Tables_number 156
_cell_length_a 8.2302
_cell_length_b 8.2302
_cell_length_c 7.0570
_cell_angle_alpha 90.00
_cell_angle_beta 90.00
_cell_angle_gamma 120.00
loop_
_symmetry_equiv_pos_as_xyz
'x,y,z'
'-y,x-y,z'
'-x+y,-x,z'
'-y,-x,z'
'-x+y,y,z'
'x,x-y,z'
loop_
_atom_site_label
_atom_site_fract_x
_atom_site_fract_y
_atom_site_fract_z
Pm1 0.0096 0.5048 0.0000
Br1 0.1674 0.3349 0.7593
Br2 0.3419 0.1710 0.2361
Br3 0.6667 0.3333 0.7637
F1 0.3333 0.6667 0.1077
```

Summary:
**Total DFT energy (no corrections)**: -4.53 eV per atom
**Formation energy from raw total energies**: -2002 meV/atom